# 1
A relaxed structure of CsTaTi2Nb. Source: Alexandria via LeMat-Bulk, functional GGA-PBE.

The structure belongs to space group P4/mmm (No. 123); the cell edges are 5.164, 5.164 and 5.043 Å and the angles 90.00°, 90.00° and 90.00°. The asymmetric unit holds Cs at (0.000, 0.000, 0.000), Ta at (0.500, 0.500, 0.000), Ti at (0.000, 0.500, 0.500) and Nb at (0.500, 0.500, 0.500).

As for the magnetic moment: 1.41 μB/f.u. The value obtained for the formation energy is 695 kJ/mol of formula units. The raw total energy is -6.272 eV/atom. For the density of states at the Fermi level, the calculation gives 1.50 states/eV per atom.

# 2
A relaxed structure of CsNbTc3. Source: Alexandria via LeMat-Bulk, functional GGA-PBE.

The structure belongs to space group Pm-3m (No. 221); the cell edges are 4.795, 4.795 and 4.795 Å and the angles 90.00°, 90.00° and 90.00°. The asymmetric unit holds Cs at (0.000, 0.000, 0.000), Nb at (0.500, 0.500, 0.500) and Tc at (0.000, 0.000, 0.500).

As for the magnetic moment: 0.06 μB/f.u. As for the distance to the lowest polymorph of the same formula: 1272.0 meV per atom. The value obtained for the formation energy is 1512 kJ/mol of formula units. The raw total energy is -5.269 eV/atom. For the density of states at the Fermi level, the calculation gives 1.59 states/eV per atom.

# 3
A relaxed structure of CsNb2Tc. Source: Alexandria via LeMat-Bulk, functional GGA-PBE.

The structure belongs to space group Fm-3m (No. 225); the cell edges are 6.815, 6.815 and 6.815 Å and the angles 90.00°, 90.00° and 90.00°. The asymmetric unit holds Cs at (0.000, 0.000, 0.000), Nb at (0.250, 0.250, 0.250) and Tc at (0.000, 0.000, 0.500).

As for the magnetic moment: 0.00 μB/f.u. The value obtained for the formation energy is 583 kJ/mol of formula units. The raw total energy is -6.330 eV/atom. For the density of states at the Fermi level, the calculation gives 2.05 states/eV per atom.

# 4
A relaxed structure of CsNbTc3. Source: Alexandria via LeMat-Bulk, functional GGA-PBE.

The structure belongs to space group Pm-3m (No. 221); the cell edges are 4.997, 4.997 and 4.997 Å and the angles 90.00°, 90.00° and 90.00°. The asymmetric unit holds Cs at (0.000, 0.000, 0.000), Nb at (0.500, 0.500, 0.500) and Tc at (0.000, 0.500, 0.500).

As for the magnetic moment: 5.23 μB/f.u. As for the distance to the lowest polymorph of the same formula: 0.0 meV per atom. The value obtained for the formation energy is 899 kJ/mol of formula units. The raw total energy is -6.541 eV/atom. For the density of states at the Fermi level, the calculation gives 1.13 states/eV per atom.

# 5
A relaxed structure of CsNbTe2. Source: Alexandria via LeMat-Bulk, functional GGA-PBE.

The structure belongs to space group Fm-3m (No. 225); the cell edges are 7.809, 7.809 and 7.809 Å and the angles 90.00°, 90.00° and 90.00°. The asymmetric unit holds Cs at (0.000, 0.000, 0.000), Nb at (0.000, 0.000, 0.500) and Te at (0.250, 0.250, 0.250).

As for the magnetic moment: 2.00 μB/f.u. The raw total energy is -4.126 eV/atom. For the uncorrected formation energy, the calculation gives 0.176 eV/atom. For the density of states at the Fermi level, the calculation gives 0.04 states/eV per atom.

# 6
A relaxed structure of Cs7NbTe6. Source: Alexandria via LeMat-Bulk, functional GGA-PBE.

The structure belongs to space group Ibam (No. 72); the cell edges are 9.776, 17.010 and 20.196 Å and the angles 90.00°, 90.00° and 90.00°. The asymmetric unit holds Cs at (0.000, 0.000, 0.250), Cs at (0.147, 0.282, 0.120), Cs at (0.228, 0.037, 0.000), Nb at (0.000, 0.500, 0.250), Te at (0.077, 0.167, 0.500) and Te at (0.162, 0.410, 0.321).

As for the magnetic moment: 0.00 μB/f.u. The raw total energy is -3.395 eV/atom. For the uncorrected formation energy, the calculation gives -0.903 eV/atom.

# 7
A relaxed structure of Cs2NbTe4. Source: Alexandria via LeMat-Bulk, functional GGA-PBE.

The structure belongs to space group I4/mmm (No. 139); the cell edges are 5.573, 5.573 and 19.136 Å and the angles 90.00°, 90.00° and 90.00°. The asymmetric unit holds Cs at (0.000, 0.000, 0.149), Nb at (0.000, 0.000, 0.500), Te at (0.000, 0.000, 0.354) and Te at (0.000, 0.500, 0.000).

As for the magnetic moment: 0.00 μB/f.u. The raw total energy is -4.009 eV/atom. For the uncorrected formation energy, the calculation gives -0.532 eV/atom. For the density of states at the Fermi level, the calculation gives 1.37 states/eV per atom.

# 8
A relaxed structure of CsNbTe3. Source: Alexandria via LeMat-Bulk, functional GGA-PBE.

The structure belongs to space group Pm-3m (No. 221); the cell edges are 6.210, 6.210 and 6.210 Å and the angles 90.00°, 90.00° and 90.00°. The asymmetric unit holds Cs at (0.000, 0.000, 0.000), Nb at (0.500, 0.500, 0.500) and Te at (0.000, 0.000, 0.500).

As for the magnetic moment: 1.79 μB/f.u. As for the distance to the lowest polymorph of the same formula: 2238.3 meV per atom. The raw total energy is -2.379 eV/atom. For the uncorrected formation energy, the calculation gives 1.690 eV/atom. For the density of states at the Fermi level, the calculation gives 1.24 states/eV per atom.

# 9
A relaxed structure of CsNbTe3. Source: Alexandria via LeMat-Bulk, functional GGA-PBE.

The structure belongs to space group Pm-3m (No. 221); the cell edges are 5.583, 5.583 and 5.583 Å and the angles 90.00°, 90.00° and 90.00°. The asymmetric unit holds Cs at (0.000, 0.000, 0.000), Nb at (0.500, 0.500, 0.500) and Te at (0.000, 0.500, 0.500).

As for the magnetic moment: 0.00 μB/f.u. As for the distance to the lowest polymorph of the same formula: 113.5 meV per atom. The raw total energy is -4.504 eV/atom. For the uncorrected formation energy, the calculation gives -0.434 eV/atom. For the density of states at the Fermi level, the calculation gives 0.64 states/eV per atom.

# 10
A relaxed structure of CsNbTe3. Source: Alexandria via LeMat-Bulk, functional GGA-PBE.

The structure belongs to space group P2/c (No. 13); the cell edges are 7.671, 7.945 and 13.741 Å and the angles 90.00°, 98.45° and 90.00°. The asymmetric unit holds Cs at (0.176, 0.044, 0.137), Nb at (0.468, 0.406, 0.880), Te at (0.236, 0.473, 0.705), Te at (0.247, 0.396, 0.461) and Te at (0.364, 0.095, 0.896).

As for the magnetic moment: 0.00 μB/f.u. As for the distance to the lowest polymorph of the same formula: 0.0 meV per atom. The raw total energy is -4.618 eV/atom. For the uncorrected formation energy, the calculation gives -0.548 eV/atom.

# 11
A relaxed structure of Cs2Nb2Te5. Source: Alexandria via LeMat-Bulk, functional GGA-PBE.

The structure belongs to space group C2/m (No. 12); the cell edges are 16.258, 5.364 and 9.538 Å and the angles 90.00°, 100.23° and 90.00°. The asymmetric unit holds Cs at (0.075, 0.000, 0.309), Nb at (0.144, 0.500, 0.902), Te at (0.000, 0.500, 0.000), Te at (0.118, 0.500, 0.627) and Te at (0.185, 0.000, 0.976).

As for the magnetic moment: 0.00 μB/f.u. The raw total energy is -4.692 eV/atom. For the uncorrected formation energy, the calculation gives -0.519 eV/atom. For the density of states at the Fermi level, the calculation gives 0.46 states/eV per atom.

# 12
A relaxed structure of CsNbTe2. Source: Alexandria via LeMat-Bulk, functional GGA-PBE.

The structure belongs to space group I-4m2 (No. 119); the cell edges are 4.613, 4.613 and 15.298 Å and the angles 90.00°, 90.00° and 90.00°. The asymmetric unit holds Cs at (0.000, 0.000, 0.000), Nb at (0.000, 0.500, 0.750) and Te at (0.000, 0.000, 0.346).

As for the magnetic moment: 1.98 μB/f.u. The raw total energy is -4.692 eV/atom. For the uncorrected formation energy, the calculation gives -0.390 eV/atom. For the density of states at the Fermi level, the calculation gives 0.59 states/eV per atom.